Below is crystalline Sr2CoRhO5 at its relaxed geometry, with properties calculated at the GGA+U level.

Computed properties:
total magnetization = 7.88 μB per cell
DFT total energy = -6.247 eV/atom

Unit cell a=7.2521 b=7.2521 c=10.2553 alpha=90.00 beta=90.00 gamma=153.30
Closest atoms and distances in Å follow each position.
Sites, in units of the cell vectors:
Sr  0.1105  0.8895  0.5000  5 O 2.45-2.57
Sr  0.1383  0.8617  0.1353  7 O 2.57-2.60
Sr  0.8617  0.1383  0.6353  7 O 2.57-2.60
Sr  0.8895  0.1105  0.0000  5 O 2.45-2.57
Co  0.4518  0.5482  0.2773  3 O 1.78-1.94
Co  0.5482  0.4518  0.7773  3 O 1.78-1.94
Rh  0.2094  0.7906  0.8484  6 O 2.10-2.13
Rh  0.7906  0.2094  0.3484  6 O 2.10-2.13
O  0.0611  0.9389  0.8710  2 Co 1.94, 1 Rh 2.11
O  0.2831  0.7169  0.4744  2 Rh 2.12
O  0.3109  0.6891  0.2236  1 Co 2.06, 2 Rh 2.13
O  0.3574  0.6426  0.8255  1 Rh 2.10
O  0.4984  0.5016  0.1161  1 Co 1.78
O  0.5016  0.4984  0.6161  1 Co 1.78
O  0.6426  0.3574  0.3255  1 Rh 2.10
O  0.6891  0.3109  0.7236  1 Co 2.06, 2 Rh 2.13
O  0.7169  0.2831  0.9744  2 Rh 2.12
O  0.9389  0.0611  0.3710  2 Co 1.94, 1 Rh 2.11